[1]
This record from Alexandria describes HfMg2Ta after structural relaxation. The functional is GGA-PBEsol.

Geometry as CIF:
```
data_HfMg2Ta
_chemical_formula_sum 'Hf1 Mg2 Ta1'
_symmetry_space_group_name_H-M 'P 1'
_symmetry_Int_Tables_number 1
_cell_length_a 4.776
_cell_length_b 4.776
_cell_length_c 4.776
_cell_angle_alpha 60.00
_cell_angle_beta 60.00
_cell_angle_gamma 60.00
loop_
_symmetry_equiv_pos_as_xyz
'x,y,z'
loop_
_atom_site_label
_atom_site_fract_x
_atom_site_fract_y
_atom_site_fract_z
_atom_site_occupancy
Mg1 0.250 0.250 0.250 1
Mg2 0.750 0.750 0.750 1
Ta1 0.500 0.500 0.500 1
Hf1 0.000 0.000 0.000 1
```

Calculated values
Electronic total energy   -6.138 eV per atom
Energy of formation from the pure elements   1.94 eV per formula unit
Volume   77 Å³/cell

[2]
This record from Alexandria describes Hf2Mg2Ta after structural relaxation. The functional is GGA-PBEsol.

Geometry as CIF:
```
data_Hf2Mg2Ta
_chemical_formula_sum 'Hf2 Mg2 Ta1'
_symmetry_space_group_name_H-M 'P 1'
_symmetry_Int_Tables_number 1
_cell_length_a 3.878
_cell_length_b 3.878
_cell_length_c 7.425
_cell_angle_alpha 105.14
_cell_angle_beta 105.14
_cell_angle_gamma 90.00
loop_
_symmetry_equiv_pos_as_xyz
'x,y,z'
loop_
_atom_site_label
_atom_site_fract_x
_atom_site_fract_y
_atom_site_fract_z
_atom_site_occupancy
Ta1 0.000 0.000 0.000 1
Mg1 0.409 0.409 0.818 1
Mg2 0.591 0.591 0.182 1
Hf1 0.250 0.750 0.500 1
Hf2 0.750 0.250 0.500 1
```

Calculated values
Electronic total energy   -6.526 eV per atom
Energy of formation from the pure elements   4.36 eV per formula unit
Volume   104 Å³/cell

[3]
This record from Alexandria describes HfMg3Ta after structural relaxation. The functional is GGA-PBEsol.

Geometry as CIF:
```
data_HfMg3Ta
_chemical_formula_sum 'Hf1 Mg3 Ta1'
_symmetry_space_group_name_H-M 'P 1'
_symmetry_Int_Tables_number 1
_cell_length_a 5.048
_cell_length_b 5.048
_cell_length_c 5.048
_cell_angle_alpha 90.00
_cell_angle_beta 90.00
_cell_angle_gamma 90.00
loop_
_symmetry_equiv_pos_as_xyz
'x,y,z'
loop_
_atom_site_label
_atom_site_fract_x
_atom_site_fract_y
_atom_site_fract_z
_atom_site_occupancy
Ta1 0.000 0.000 0.000 1
Mg1 0.000 0.000 0.500 1
Mg2 0.000 0.500 0.000 1
Mg3 0.500 0.000 0.000 1
Hf1 0.500 0.500 0.500 1
```

Calculated values
Electronic total energy   -4.022 eV per atom
Energy of formation from the pure elements   8.10 eV per formula unit
Volume   129 Å³/cell

[4]
This record from Alexandria describes Hf2Mg2W after structural relaxation. The functional is GGA-PBEsol.

Geometry as CIF:
```
data_Hf2Mg2W
_chemical_formula_sum 'Hf2 Mg2 W1'
_symmetry_space_group_name_H-M 'P 1'
_symmetry_Int_Tables_number 1
_cell_length_a 3.527
_cell_length_b 3.527
_cell_length_c 8.783
_cell_angle_alpha 101.58
_cell_angle_beta 101.58
_cell_angle_gamma 90.00
loop_
_symmetry_equiv_pos_as_xyz
'x,y,z'
loop_
_atom_site_label
_atom_site_fract_x
_atom_site_fract_y
_atom_site_fract_z
_atom_site_occupancy
Mg1 0.250 0.750 0.500 1
Mg2 0.750 0.250 0.500 1
W1 0.000 0.000 0.000 1
Hf1 0.414 0.414 0.827 1
Hf2 0.586 0.586 0.173 1
```

Calculated values
Electronic total energy   -7.052 eV per atom
Energy of formation from the pure elements   2.99 eV per formula unit
Volume   105 Å³/cell

[5]
This record from Alexandria describes YHfMg6 after structural relaxation. The functional is GGA-PBEsol.

Geometry as CIF:
```
data_YHfMg6
_chemical_formula_sum 'Y1 Hf1 Mg6'
_symmetry_space_group_name_H-M 'P 1'
_symmetry_Int_Tables_number 1
_cell_length_a 4.830
_cell_length_b 6.217
_cell_length_c 6.217
_cell_angle_alpha 102.02
_cell_angle_beta 90.00
_cell_angle_gamma 90.00
loop_
_symmetry_equiv_pos_as_xyz
'x,y,z'
loop_
_atom_site_label
_atom_site_fract_x
_atom_site_fract_y
_atom_site_fract_z
_atom_site_occupancy
Hf1 0.500 0.000 0.000 1
Mg1 0.000 0.756 0.244 1
Mg2 0.000 0.241 0.241 1
Mg3 0.500 0.500 0.000 1
Mg4 0.000 0.759 0.759 1
Mg5 0.500 0.000 0.500 1
Mg6 0.000 0.244 0.756 1
Y1 0.500 0.500 0.500 1
```

Calculated values
Electronic total energy   -3.408 eV per atom
Energy of formation from the pure elements   0.36 eV per formula unit
Volume   183 Å³/cell

[6]
This record from Alexandria describes YHf3Mg after structural relaxation. The functional is GGA-PBEsol.

Geometry as CIF:
```
data_YHf3Mg
_chemical_formula_sum 'Y1 Hf3 Mg1'
_symmetry_space_group_name_H-M 'P 1'
_symmetry_Int_Tables_number 1
_cell_length_a 5.060
_cell_length_b 5.060
_cell_length_c 5.060
_cell_angle_alpha 90.00
_cell_angle_beta 90.00
_cell_angle_gamma 90.00
loop_
_symmetry_equiv_pos_as_xyz
'x,y,z'
loop_
_atom_site_label
_atom_site_fract_x
_atom_site_fract_y
_atom_site_fract_z
_atom_site_occupancy
Hf1 0.000 0.500 0.000 1
Hf2 0.000 0.000 0.500 1
Hf3 0.500 0.000 0.000 1
Y1 0.500 0.500 0.500 1
Mg1 0.000 0.000 0.000 1
```

Calculated values
Electronic total energy   -6.902 eV per atom
Energy of formation from the pure elements   5.54 eV per formula unit
Volume   130 Å³/cell

[7]
This record from Alexandria describes YHfMg3 after structural relaxation. The functional is GGA-PBEsol.

Geometry as CIF:
```
data_YHfMg3
_chemical_formula_sum 'Y1 Hf1 Mg3'
_symmetry_space_group_name_H-M 'P 1'
_symmetry_Int_Tables_number 1
_cell_length_a 5.220
_cell_length_b 5.220
_cell_length_c 5.220
_cell_angle_alpha 90.00
_cell_angle_beta 90.00
_cell_angle_gamma 90.00
loop_
_symmetry_equiv_pos_as_xyz
'x,y,z'
loop_
_atom_site_label
_atom_site_fract_x
_atom_site_fract_y
_atom_site_fract_z
_atom_site_occupancy
Mg1 0.000 0.500 0.000 1
Mg2 0.000 0.000 0.500 1
Mg3 0.500 0.000 0.000 1
Hf1 0.500 0.500 0.500 1
Y1 0.000 0.000 0.000 1
```

Calculated values
Electronic total energy   -3.001 eV per atom
Energy of formation from the pure elements   7.47 eV per formula unit
Volume   142 Å³/cell

[8]
This record from Alexandria describes Hf2MgZn2 after structural relaxation. The functional is GGA-PBEsol.

Geometry as CIF:
```
data_Hf2MgZn2
_chemical_formula_sum 'Hf4 Mg2 Zn4'
_symmetry_space_group_name_H-M 'P 1'
_symmetry_Int_Tables_number 1
_cell_length_a 3.446
_cell_length_b 7.261
_cell_length_c 7.261
_cell_angle_alpha 90.00
_cell_angle_beta 90.00
_cell_angle_gamma 90.00
loop_
_symmetry_equiv_pos_as_xyz
'x,y,z'
loop_
_atom_site_label
_atom_site_fract_x
_atom_site_fract_y
_atom_site_fract_z
_atom_site_occupancy
Zn1 0.000 0.625 0.125 1
Zn2 0.000 0.125 0.375 1
Zn3 0.000 0.875 0.625 1
Zn4 0.000 0.375 0.875 1
Hf1 0.500 0.828 0.328 1
Hf2 0.500 0.672 0.828 1
Hf3 0.500 0.328 0.172 1
Hf4 0.500 0.172 0.672 1
Mg1 0.000 0.000 0.000 1
Mg2 0.000 0.500 0.500 1
```

Calculated values
Electronic total energy   -5.287 eV per atom
Energy of formation from the pure elements   -0.55 eV per formula unit
Volume   182 Å³/cell

Copy entry 2 word for word.
This record from Alexandria describes Hf2Mg2Ta after structural relaxation. The functional is GGA-PBEsol.

Geometry as CIF:
```
data_Hf2Mg2Ta
_chemical_formula_sum 'Hf2 Mg2 Ta1'
_symmetry_space_group_name_H-M 'P 1'
_symmetry_Int_Tables_number 1
_cell_length_a 3.878
_cell_length_b 3.878
_cell_length_c 7.425
_cell_angle_alpha 105.14
_cell_angle_beta 105.14
_cell_angle_gamma 90.00
loop_
_symmetry_equiv_pos_as_xyz
'x,y,z'
loop_
_atom_site_label
_atom_site_fract_x
_atom_site_fract_y
_atom_site_fract_z
_atom_site_occupancy
Ta1 0.000 0.000 0.000 1
Mg1 0.409 0.409 0.818 1
Mg2 0.591 0.591 0.182 1
Hf1 0.250 0.750 0.500 1
Hf2 0.750 0.250 0.500 1
```

Calculated values
Electronic total energy   -6.526 eV per atom
Energy of formation from the pure elements   4.36 eV per formula unit
Volume   104 Å³/cell

> Among the records above, which one has the lowest electronic total energy?

Hf2Mg2W

> Number 3 is which compound?

HfMg3Ta